# 1
Here is a relaxed BTeN2F crystal from the Alexandria database. Energies are from PBE-GGA.

Cell: 4.0061 4.0061 4.2835 Å, 90.00 90.00 90.00°
Last column: nearest neighbours and their distance in Å.
Sites, in units of the cell vectors:
B 0.0000 0.0000 0.0000  4 F 2.83, 8 N 2.93
Te 0.5000 0.5000 0.5000  4 N 2.00, 2 F 2.14
N 0.0000 0.5000 0.5000  2 Te 2.00
N 0.5000 0.0000 0.5000  2 Te 2.00
F 0.5000 0.5000 0.0000  2 Te 2.14

Calculated density ... 4.48 g cm⁻³
Formation energy (no corrections) ... 1539.1 meV per atom
Space group ... No. 123
Calculated volume ... 68.7 Å³/cell

# 2
Here is a relaxed AlPbS2 crystal from the Alexandria database. Energies are from PBE-GGA.

Cell: 8.0753 8.0753 8.0753 Å, 25.13 25.13 25.13°
Last column: nearest neighbours and their distance in Å.
Sites, in units of the cell vectors:
Al 0.0000 0.0000 0.0000  6 S 2.43
Pb 0.5000 0.5000 0.5000  6 S 3.28, 6 Pb 3.51
S 0.2766 0.2766 0.2766  3 Al 2.43
S 0.7234 0.7234 0.7234  3 Al 2.43

Calculated density ... 5.93 g cm⁻³
Formation energy (no corrections) ... -717.1 meV per atom
Space group ... No. 166
Calculated volume ... 83.6 Å³/cell

# 3
Here is a relaxed KBeAl crystal from the Alexandria database. Energies are from PBE-GGA.

Cell: 4.1783 4.1783 5.5022 Å, 90.00 90.00 120.00°
Last column: nearest neighbours and their distance in Å.
Sites, in units of the cell vectors:
K 0.0000 0.0000 0.0000  6 Be 3.66, 6 Al 3.66
Be 0.3333 0.6667 0.5000  3 Al 2.41
Al 0.6667 0.3333 0.5000  3 Be 2.41

Formation energy ... 568.8 meV/atom
Calculated density ... 1.50 g cm⁻³
Space group ... No. 187
Calculated volume ... 83.2 Å³/cell

# 4
Here is a relaxed MnCd2Te crystal from the Alexandria database. Energies are from PBE-GGA.

Cell: 4.2559 3.9336 6.1823 Å, 90.00 109.69 90.00°
Last column: nearest neighbours and their distance in Å.
Sites, in units of the cell vectors:
Mn 0.0000 0.0000 0.0000  4 Te 2.90, 2 Cd 3.11
Cd 0.0000 0.5000 0.5000  4 Cd 2.90, 2 Te 3.11
Cd 0.5000 0.0000 0.5000  4 Cd 2.90, 2 Mn 3.11
Te 0.5000 0.5000 0.0000  4 Mn 2.90, 2 Cd 3.11

Calculated density ... 6.94 g cm⁻³
Formation energy (no corrections) ... 165.0 meV per atom
Space group ... No. 10
Calculated volume ... 97.4 Å³/cell

# 5
Here is a relaxed MgTlInI4 crystal from the Alexandria database. Energies are from PBE-GGA.

Cell: 8.0304 8.3076 9.6249 Å, 90.00 107.61 90.00°
Last column: nearest neighbours and their distance in Å.
Sites, in units of the cell vectors:
Mg 0.2329 0.2500 0.3064  4 I 2.73-2.76
Mg 0.7671 0.7500 0.6936  4 I 2.73-2.76
Tl 0.2328 0.7500 0.0574  6 I 3.58-3.63
Tl 0.7672 0.2500 0.9426  6 I 3.58-3.63
In 0.2285 0.7500 0.5552  6 I 3.43-3.71
In 0.7715 0.2500 0.4448  6 I 3.43-3.71
I 0.0013 0.5040 0.2430  1 Mg 2.76
I 0.0013 0.9960 0.2430  1 Mg 2.76
I 0.4310 0.2500 0.5922  1 Mg 2.73
I 0.4356 0.2500 0.1244  1 Mg 2.73
I 0.5644 0.7500 0.8756  1 Mg 2.73
I 0.5690 0.7500 0.4078  1 Mg 2.73
I 0.9987 0.0040 0.7570  1 Mg 2.76
I 0.9987 0.4960 0.7570  1 Mg 2.76

Calculated density ... 4.62 g cm⁻³
Formation energy (no corrections) ... -743.6 meV per atom
Space group ... No. 11
Calculated volume ... 612.0 Å³/cell

# 6
Here is a relaxed Y2BiN crystal from the Alexandria database. Energies are from PBE-GGA.

Cell: 5.0577 5.0577 5.0577 Å, 60.00 60.00 60.00°
Last column: nearest neighbours and their distance in Å.
Sites, in units of the cell vectors:
Y 0.2500 0.2500 0.2500  4 Bi 3.10, 4 N 3.10
Y 0.7500 0.7500 0.7500  4 Bi 3.10, 4 N 3.10
Bi 0.0000 0.0000 0.0000  8 Y 3.10
N 0.5000 0.5000 0.5000  8 Y 3.10

Calculated density ... 7.28 g cm⁻³
Formation energy (no corrections) ... 29.6 meV per atom
Space group ... No. 225
Calculated volume ... 91.5 Å³/cell

Number 1: E -20.65 eV per cell. Number 2: E -18.57 eV per cell. Number 3: E -6.86 eV per cell. Number 4: E -13.48 eV per cell. Number 5: E -36.21 eV per cell. Number 6: E -25.02 eV per cell.